[1]
This record from Alexandria describes Rb2TlPdI6 after structural relaxation. The functional is PBE.

Unit cell a=8.447 b=8.447 c=8.452 alpha=60.02 beta=60.02 gamma=90.00
Element x y z (fractional)
Pd1 0.500 0.500 0.000
Rb1 0.250 0.750 0.500
I1 0.733 0.733 0.534
I2 0.733 0.267 0.000
I3 0.733 0.733 0.000
I4 0.267 0.733 0.000
Tl1 0.000 0.000 0.000
I5 0.267 0.267 0.466
Rb2 0.750 0.250 0.500
I6 0.267 0.267 0.000

***

[2]
This record from Alexandria describes RbUPdI6 after structural relaxation. The functional is PBE.

Unit cell a=7.579 b=7.579 c=8.540 alpha=90.03 beta=89.96 gamma=59.92
Site moments in Bohr magnetons follow the coordinates.
Element x y z (fractional)
I1 0.354 0.009 0.703  -0.08
I2 0.638 0.354 0.702  -0.08
I3 0.009 0.354 0.297  -0.08
Pd1 0.333 0.333 0.500  -0.66
U1 0.666 0.667 0.500  2.27
I4 0.354 0.638 0.298  -0.08
Rb1 0.000 0.000 0.000  0.00
I5 0.637 0.010 0.298  -0.08
I6 0.010 0.637 0.702  -0.08

***

[3]
This record from Alexandria describes Rb2PdWI6 after structural relaxation. The functional is PBE.

Unit cell a=8.067 b=8.067 c=8.148 alpha=60.33 beta=60.33 gamma=90.00
Site moments in Bohr magnetons follow the coordinates.
Element x y z (fractional)
W1 0.000 0.000 0.000  1.80
Rb1 0.750 0.250 0.500  0.00
I1 0.753 0.753 0.000  -0.01
I2 0.758 0.758 0.484  -0.01
Rb2 0.250 0.750 0.500  0.00
I3 0.247 0.753 0.000  -0.01
I4 0.247 0.247 0.000  -0.01
I5 0.242 0.242 0.516  -0.01
Pd1 0.500 0.500 0.000  -0.15
I6 0.753 0.247 0.000  -0.01

***

[4]
This record from Alexandria describes RbZnPdI2 after structural relaxation. The functional is PBE.

Unit cell a=5.841 b=4.927 c=5.841 alpha=90.00 beta=90.00 gamma=90.00
Element x y z (fractional)
Zn1 0.000 0.000 0.000
I1 0.500 0.000 0.000
I2 0.000 0.000 0.500
Pd1 0.000 0.500 0.000
Rb1 0.500 0.500 0.500

***

[5]
This record from Alexandria describes Rb2ZnPdI6 after structural relaxation. The functional is PBE.

Unit cell a=8.401 b=8.401 c=8.346 alpha=59.78 beta=59.78 gamma=90.00
Element x y z (fractional)
I1 0.224 0.224 0.000
Rb1 0.250 0.750 0.500
Pd1 0.000 0.000 0.000
I2 0.776 0.224 0.000
I3 0.776 0.776 0.000
Rb2 0.750 0.250 0.500
Zn1 0.500 0.500 0.000
I4 0.714 0.714 0.572
I5 0.286 0.286 0.428
I6 0.224 0.776 0.000

***

[6]
This record from Alexandria describes RePdI3 after structural relaxation. The functional is PBE.

Unit cell a=5.497 b=5.497 c=5.497 alpha=90.00 beta=90.00 gamma=90.00
Site moments in Bohr magnetons follow the coordinates.
Element x y z (fractional)
I1 0.500 0.000 0.000  0.15
I2 0.000 0.500 0.000  0.08
I3 0.000 0.000 0.500  0.07
Re1 0.000 0.000 0.000  2.27
Pd1 0.500 0.500 0.500  0.23

Properties
The excess energy over the best structure of this formula in the dataset is 0 meV per atom.

***

[7]
This record from Alexandria describes RePd3I after structural relaxation. The functional is PBE.

Unit cell a=4.896 b=4.896 c=4.896 alpha=90.00 beta=90.00 gamma=90.00
Element x y z (fractional)
Pd1 0.500 0.000 0.000
Pd2 0.000 0.500 0.000
Pd3 0.000 0.000 0.500
Re1 0.000 0.000 0.000
I1 0.500 0.500 0.500

Properties
The excess energy over the best structure of this formula in the dataset is 0 meV per atom.

***

[8]
This record from Alexandria describes RePd2I after structural relaxation. The functional is PBE.

Unit cell a=6.556 b=6.556 c=6.571 alpha=60.08 beta=60.08 gamma=90.00
Element x y z (fractional)
Pd1 0.084 0.625 0.250
Pd2 0.666 0.125 0.250
Re1 0.000 0.000 0.000
Re2 0.750 0.250 0.500
Pd3 0.375 0.334 0.750
I1 0.250 0.750 0.500
I2 0.500 0.500 0.000
Pd4 0.875 0.916 0.750

Properties
The excess energy over the best structure of this formula in the dataset is 0 meV per atom.

***

no.,formation energy (no corrections) (eV per atom)
1,-0.75
2,-0.75
3,-0.47
4,-0.34
5,-0.76
6,1.00
7,1.13
8,1.04